[1]
# Na10B13C7, relaxed, DFT GGA-PBE
data_Na10B13C7
_space_group_name_H-M_alt 'C 1 m 1'
_space_group_IT_number 8
_cell_length_a 22.8543
_cell_length_b 2.8274
_cell_length_c 9.9177
_cell_angle_alpha 90.00
_cell_angle_beta 107.61
_cell_angle_gamma 90.00
loop_
_space_group_symop_operation_xyz
'x,y,z'
'x,-y,z'
'x+1/2,y+1/2,z'
'x+1/2,-y+1/2,z'
loop_
_atom_site_label
_atom_site_fract_x
_atom_site_fract_y
_atom_site_fract_z
_atom_site_occupancy
Na1 0.0000 0.0000 0.0000 1
Na2 0.9999 0.5000 0.4958 1
Na3 0.0996 0.5000 0.2010 1
Na4 0.1007 0.0000 0.6964 1
Na5 0.1992 0.0000 0.3991 1
Na6 0.2014 0.5000 0.8954 1
Na7 0.2990 0.5000 0.5973 1
Na8 0.3009 0.0000 0.0951 1
Na9 0.3993 0.0000 0.7980 1
Na10 0.4000 0.5000 0.2957 1
B1 0.0210 0.5000 0.7899 1
B2 0.0846 0.0000 0.4154 1
B3 0.0858 0.5000 0.9189 1
B4 0.1265 0.0000 0.0001 1
B5 0.1847 0.5000 0.6148 1
B6 0.2173 0.5000 0.1815 1
B7 0.2843 0.0000 0.8162 1
B8 0.3089 0.0000 0.3645 1
B9 0.3764 0.0000 0.5006 1
B10 0.3841 0.5000 0.0175 1
B11 0.4140 0.5000 0.5763 1
B12 0.4801 0.5000 0.7080 1
B13 0.4843 0.0000 0.2170 1
C1 0.0175 0.0000 0.2827 1
C2 0.1180 0.5000 0.4809 1
C3 0.1871 0.0000 0.1214 1
C4 0.2179 0.0000 0.6812 1
C5 0.2801 0.5000 0.3068 1
C6 0.3171 0.5000 0.8835 1
C7 0.4170 0.0000 0.0841 1
# N(E_F) in states/eV per atom: 0.0830
# DFT total energy in hartree per atom: -0.198

***

[2]
# Mg3TcGe, relaxed, DFT GGA-PBE
data_Mg3TcGe
_space_group_name_H-M_alt 'P m -3 m'
_space_group_IT_number 221
_space_group_name_Hall '-P 4 2 3'
_cell_length_a 4.9503
_cell_length_b 4.9503
_cell_length_c 4.9503
_cell_angle_alpha 90.00
_cell_angle_beta 90.00
_cell_angle_gamma 90.00
loop_
_atom_site_label
_atom_site_fract_x
_atom_site_fract_y
_atom_site_fract_z
_atom_site_occupancy
Mg1 0.0000 0.0000 0.5000 1
Tc1 0.5000 0.5000 0.5000 1
Ge1 0.0000 0.0000 0.0000 1
# N(E_F) in states/eV per atom: 0.3414
# DFT total energy in hartree per atom: -0.112

***

[3]
# TbNdEuSc, relaxed, DFT GGA-PBE
data_TbNdEuSc
_space_group_name_H-M_alt 'F -4 3 m'
_space_group_IT_number 216
_space_group_name_Hall 'F -4 2 3'
_cell_length_a 8.0239
_cell_length_b 8.0239
_cell_length_c 8.0239
_cell_angle_alpha 90.00
_cell_angle_beta 90.00
_cell_angle_gamma 90.00
loop_
_atom_site_label
_atom_site_fract_x
_atom_site_fract_y
_atom_site_fract_z
_atom_site_occupancy
Tb1 0.0000 0.0000 0.0000 1
Nd1 0.0000 0.0000 0.5000 1
Eu1 0.2500 0.2500 0.2500 1
Sc1 0.2500 0.2500 0.7500 1
# N(E_F) in states/eV per atom: 1.6726
# DFT total energy in hartree per atom: -0.233

***

[4]
# MnWSe, relaxed, DFT GGA-PBE
data_MnWSe
_space_group_name_H-M_alt 'I 4 m m'
_space_group_IT_number 107
_space_group_name_Hall 'I 4 -2'
_cell_length_a 2.9429
_cell_length_b 2.9429
_cell_length_c 9.7620
_cell_angle_alpha 90.00
_cell_angle_beta 90.00
_cell_angle_gamma 90.00
loop_
_atom_site_label
_atom_site_fract_x
_atom_site_fract_y
_atom_site_fract_z
_atom_site_occupancy
Mn1 0.0000 0.0000 0.0000 1
W1 0.0000 0.0000 0.6751 1
Se1 0.0000 0.0000 0.3528 1
# N(E_F) in states/eV per atom: 0.9117
# DFT total energy in hartree per atom: -0.301
# ΔE_f (raw) in eV per atom: 0.34

***

[5]
# Y4AgC, relaxed, DFT GGA-PBE
data_Y4AgC
_space_group_name_H-M_alt 'C 1 2/c 1'
_space_group_IT_number 15
_cell_length_a 8.2953
_cell_length_b 13.9110
_cell_length_c 6.3048
_cell_angle_alpha 90.00
_cell_angle_beta 121.59
_cell_angle_gamma 90.00
loop_
_space_group_symop_operation_xyz
'x,y,z'
'-x,-y,-z'
'-x,y,-z+1/2'
'x,-y,z+1/2'
'x+1/2,y+1/2,z'
'-x+1/2,-y+1/2,-z'
'-x+1/2,y+1/2,-z+1/2'
'x+1/2,-y+1/2,z+1/2'
loop_
_atom_site_label
_atom_site_fract_x
_atom_site_fract_y
_atom_site_fract_z
_atom_site_occupancy
Y1 0.1413 0.2007 0.1528 1
Y2 0.2238 0.0480 0.6930 1
Ag1 0.0000 0.3794 0.7500 1
C1 0.0000 0.0667 0.2500 1
# N(E_F) in states/eV per atom: 1.1322
# DFT total energy in hartree per atom: -0.237

***

[6]
# TlAuS, relaxed, DFT GGA-PBE
data_TlAuS
_space_group_name_H-M_alt 'P -6 m 2'
_space_group_IT_number 187
_space_group_name_Hall 'P -6 2'
_cell_length_a 4.3004
_cell_length_b 4.3004
_cell_length_c 4.6911
_cell_angle_alpha 90.00
_cell_angle_beta 90.00
_cell_angle_gamma 120.00
loop_
_atom_site_label
_atom_site_fract_x
_atom_site_fract_y
_atom_site_fract_z
_atom_site_occupancy
Tl1 0.0000 0.0000 0.0000 1
Au1 0.3333 0.6667 0.5000 1
S1 0.6667 0.3333 0.5000 1
# N(E_F) in states/eV per atom: 0.0988
# DFT total energy in hartree per atom: -0.125
# ΔE_f (raw) in eV per atom: -0.15

***

[7]
# Hf4GeN2, relaxed, DFT GGA-PBE
data_Hf4GeN2
_space_group_name_H-M_alt 'I 4/m'
_space_group_IT_number 87
_space_group_name_Hall '-I 4'
_cell_length_a 7.0322
_cell_length_b 7.0322
_cell_length_c 5.2966
_cell_angle_alpha 90.00
_cell_angle_beta 90.00
_cell_angle_gamma 90.00
loop_
_atom_site_label
_atom_site_fract_x
_atom_site_fract_y
_atom_site_fract_z
_atom_site_occupancy
Hf1 0.1216 0.3137 0.0000 1
Ge1 0.0000 0.0000 0.5000 1
N1 0.0000 0.5000 0.2500 1
# N(E_F) in states/eV per atom: 0.6457
# DFT total energy in hartree per atom: -0.345
# ΔE_f (raw) in eV per atom: -0.66

***

[8]
# Mg3PaHg4, relaxed, DFT GGA-PBE
data_Mg3PaHg4
_space_group_name_H-M_alt 'R -3 m'
_space_group_IT_number 166
_space_group_name_Hall '-R 3 2"'
_cell_length_a 4.8896
_cell_length_b 4.8896
_cell_length_c 26.1925
_cell_angle_alpha 90.00
_cell_angle_beta 90.00
_cell_angle_gamma 120.00
loop_
_atom_site_label
_atom_site_fract_x
_atom_site_fract_y
_atom_site_fract_z
_atom_site_occupancy
Mg1 0.0000 0.0000 0.0000 1
Mg2 0.0000 0.0000 0.2522 1
Pa1 0.0000 0.0000 0.5000 1
Hg1 0.0000 0.0000 0.1160 1
Hg2 0.0000 0.0000 0.3744 1
# N(E_F) in states/eV per atom: 0.8040
# DFT total energy in hartree per atom: -0.076

***

[9]
# CaVH, relaxed, DFT GGA-PBE
data_CaVH
_space_group_name_H-M_alt 'P 63/m m c'
_space_group_IT_number 194
_space_group_name_Hall '-P 6c 2c'
_cell_length_a 4.9109
_cell_length_b 4.9109
_cell_length_c 6.4293
_cell_angle_alpha 90.00
_cell_angle_beta 90.00
_cell_angle_gamma 120.00
loop_
_atom_site_label
_atom_site_fract_x
_atom_site_fract_y
_atom_site_fract_z
_atom_site_occupancy
Ca1 0.3333 0.6667 0.2500 1
V1 0.3333 0.6667 0.7500 1
H1 0.0000 0.0000 0.2500 1
# N(E_F) in states/eV per atom: 1.0875
# DFT total energy in hartree per atom: -0.130

***

[10]
# MnRe2Sb, relaxed, DFT GGA-PBE
data_MnRe2Sb
_space_group_name_H-M_alt 'P 4 m m'
_space_group_IT_number 99
_cell_length_a 3.0305
_cell_length_b 3.0305
_cell_length_c 6.7116
_cell_angle_alpha 90.00
_cell_angle_beta 90.00
_cell_angle_gamma 90.00
loop_
_space_group_symop_operation_xyz
'x,y,z'
'-y,x,z'
'-x,-y,z'
'y,-x,z'
'-x,y,z'
'y,x,z'
'x,-y,z'
'-y,-x,z'
loop_
_atom_site_label
_atom_site_fract_x
_atom_site_fract_y
_atom_site_fract_z
_atom_site_occupancy
Mn1 0.0000 0.0000 0.0000 1
Re1 0.0000 0.0000 0.4707 1
Re2 0.5000 0.5000 0.2323 1
Sb1 0.5000 0.5000 0.7606 1
# N(E_F) in states/eV per atom: 0.6923
# DFT total energy in hartree per atom: -0.337
# ΔE_f (raw) in eV per atom: 0.38

***

[11]
# MgNbCl, relaxed, DFT GGA-PBE
data_MgNbCl
_space_group_name_H-M_alt 'P 3 m 1'
_space_group_IT_number 156
_cell_length_a 3.2109
_cell_length_b 3.2109
_cell_length_c 6.8015
_cell_angle_alpha 90.00
_cell_angle_beta 90.00
_cell_angle_gamma 120.00
loop_
_space_group_symop_operation_xyz
'x,y,z'
'-y,x-y,z'
'-x+y,-x,z'
'-y,-x,z'
'-x+y,y,z'
'x,x-y,z'
loop_
_atom_site_label
_atom_site_fract_x
_atom_site_fract_y
_atom_site_fract_z
_atom_site_occupancy
Mg1 0.0000 0.0000 0.0000 1
Nb1 0.3333 0.6667 0.3313 1
Cl1 0.0000 0.0000 0.5848 1
# N(E_F) in states/eV per atom: 0.1119
# DFT total energy in hartree per atom: -0.179
# ΔE_f (raw) in eV per atom: -0.36

***

[12]
# CuGeP, relaxed, DFT GGA-PBE
data_CuGeP
_space_group_name_H-M_alt 'P 1 2 1'
_space_group_IT_number 3
_cell_length_a 2.6003
_cell_length_b 5.3341
_cell_length_c 3.8492
_cell_angle_alpha 90.00
_cell_angle_beta 90.72
_cell_angle_gamma 90.00
loop_
_space_group_symop_operation_xyz
'x,y,z'
'-x,y,-z'
loop_
_atom_site_label
_atom_site_fract_x
_atom_site_fract_y
_atom_site_fract_z
_atom_site_occupancy
Cu1 0.0000 0.0000 0.0000 1
Ge1 0.0000 0.3018 0.5000 1
P1 0.0000 0.7663 0.5000 1
# N(E_F) in states/eV per atom: 0.3404
# DFT total energy in hartree per atom: -0.166